Material: Sr3ZnNi
Method: DFT, PBE
State: optimized geometry

Lattice parameters (Å, degrees): 5.7311 5.7311 5.7311 90.00 90.00 90.00
Last column: nearest neighbours and their distance in Å.
Fractional coordinates of all 5 atoms:
Sr 0.0000 0.0000 0.5000  2 Ni 2.87
Sr 0.5000 0.0000 0.0000  2 Ni 2.87
Sr 0.0000 0.5000 0.0000  2 Ni 2.87
Zn 0.5000 0.5000 0.5000  12 Sr 4.05
Ni 0.0000 0.0000 0.0000  6 Sr 2.87

Properties
Calculated formation energy   0.0714 eV per atom
Spin magnetization   0.000 μB per formula unit